Material: AcFeP2O8
Method: DFT, PBE with a Hubbard U
State: relaxed

**Space-group type**: I-4m2 (119)
**Volume**: 13.1 A^3/atom
**Crystal system**: tetragonal
**Uncorrected energy**: -7.29 eV per atom

a b c (Å): 5.9289 5.9289 5.9289
angles (deg): 105.25 105.25 118.29
Closest atoms and distances in Å follow each position.
Atoms (fractional coordinates):
Ac  0.0000  0.0000  0.0000  8 O 2.49-2.50
Fe  0.2500  0.7500  0.5000  8 O 2.31-2.40
P  0.5000  0.5000  0.0000  4 O 1.57
P  0.7500  0.2500  0.5000  4 O 1.56
O  0.3526  0.1742  0.8217  1 P 1.57
O  0.3526  0.5309  0.1783  1 P 1.57
O  0.4182  0.0792  0.3391  1 P 1.56
O  0.4691  0.6474  0.8217  1 P 1.57
O  0.7401  0.0792  0.6609  1 P 1.56
O  0.8258  0.6474  0.1783  1 P 1.57
O  0.9208  0.2599  0.3391  1 P 1.56
O  0.9208  0.5818  0.6609  1 P 1.56